First-principles (PBE+U) data for an optimized crystal structure of KPrCoO3, as listed in Alexandria via LeMat-Bulk.

Lattice parameters (Å, degrees): 7.108 7.108 7.543 104.20 104.20 31.26
Sites, in units of the cell vectors:
1 K 0.147 0.147 0.068
2 K 0.853 0.853 0.932
3 Pr 0.153 0.153 0.580
4 Pr 0.847 0.847 0.420
5 Co 0.495 0.495 0.721
6 Co 0.505 0.505 0.279
7 O 0.009 0.009 0.300
8 O 0.332 0.332 0.632
9 O 0.352 0.352 0.221
10 O 0.648 0.648 0.779
11 O 0.668 0.668 0.368
12 O 0.991 0.991 0.700

## Properties
electronic total energy: -37.927 eV per formula unit
space-group type: C2/m (12)
V: 191.28 Å³ per cell